(1)
{"formula": "LaDyMnZn", "functional": "PBE-GGA", "state": "relaxed", "cell": [[5.149, 0.000, 0.000], [2.574, 4.459, 0.000], [2.574, 1.486, 4.204]], "species": ["Zn", "La", "Mn", "Dy"], "frac_coords": [[0.000, 0.000, 0.000], [0.250, 0.250, 0.250], [0.500, 0.500, 0.500], [0.750, 0.750, 0.750]], "sg": "No. 216", "final_energy_ev_per_cell": -20.00, "n_ef_per_ev_cell": 5.93}

---

(2)
{"formula": "LaDyMoN3", "functional": "PBE-GGA", "state": "relaxed", "cell": [[3.536, 0.000, 0.000], [0.000, 9.118, 0.781], [0.000, -2.065, 5.971]], "species": ["La", "La", "Dy", "Dy", "Mo", "Mo", "N", "N", "N", "N", "N", "N"], "frac_coords": [[0.750, 0.691, 0.664], [0.250, 0.309, 0.336], [0.250, 0.645, 0.142], [0.750, 0.355, 0.858], [0.250, 0.076, 0.649], [0.750, 0.924, 0.351], [0.250, 0.843, 0.478], [0.750, 0.798, 0.067], [0.750, 0.482, 0.237], [0.750, 0.157, 0.522], [0.250, 0.518, 0.763], [0.250, 0.202, 0.933]], "sg": "No. 11", "n_ef_per_ev_cell": 2.76, "formation_energy_uncorrected_ev_per_atom": -1.058}

---

(3)
{"formula": "La2DyN3", "functional": "PBE-GGA", "state": "relaxed", "cell": [[2.205, -6.136, 5.147], [-2.325, -7.383, 3.014], [1.295, 5.581, -6.015]], "species": ["La", "La", "Dy", "N", "N", "N"], "frac_coords": [[0.659, 0.659, 0.000], [0.341, 0.341, 0.000], [0.000, 0.000, 0.000], [0.500, 0.500, 0.000], [0.848, 0.848, 0.000], [0.152, 0.152, 0.000]], "sg": "No. 139", "n_ef_per_ev_cell": 0.52, "formation_energy_uncorrected_ev_per_atom": -1.407}

---

(4)
{"formula": "La4DyN4", "functional": "PBE-GGA", "state": "relaxed", "cell": [[3.563, 0.000, 0.842], [1.512, 6.022, 1.561], [-0.077, -0.039, 8.284]], "species": ["La", "La", "La", "La", "Dy", "N", "N", "N", "N"], "frac_coords": [[0.707, 0.400, 0.187], [0.897, 0.828, 0.378], [0.293, 0.600, 0.813], [0.103, 0.172, 0.622], [0.500, 0.000, 0.000], [0.312, 0.086, 0.290], [0.688, 0.914, 0.710], [0.902, 0.284, 0.912], [0.098, 0.716, 0.088]], "relative_energy_mev_per_atom": 0.0, "sg": "No. 12", "n_ef_per_ev_cell": 3.66, "formation_energy_uncorrected_ev_per_atom": -1.258}

---

(5)
{"formula": "La4DyN4", "functional": "PBE-GGA", "state": "relaxed", "cell": [[-4.364, 3.997, -1.328], [-4.193, -3.943, 1.912], [4.641, 2.069, 4.825]], "species": ["La", "La", "La", "La", "Dy", "N", "N", "N", "N"], "frac_coords": [[0.500, 0.000, 0.000], [0.000, 0.500, 0.000], [0.289, 0.289, 0.578], [0.711, 0.711, 0.422], [0.000, 0.000, 0.000], [0.658, 0.658, 0.765], [0.342, 0.893, 0.235], [0.107, 0.107, 0.765], [0.893, 0.342, 0.235]], "relative_energy_mev_per_atom": 440.3, "sg": "No. 121", "n_ef_per_ev_cell": 6.30, "formation_energy_uncorrected_ev_per_atom": -0.817}

---

(6)
{"formula": "La2Dy4N", "functional": "PBE-GGA", "state": "relaxed", "cell": [[4.829, 0.000, 0.000], [0.000, 4.829, 0.000], [2.415, 2.415, 9.054]], "species": ["N", "La", "La", "Dy", "Dy", "Dy", "Dy"], "frac_coords": [[0.000, 0.000, 0.000], [0.675, 0.675, 0.650], [0.325, 0.325, 0.350], [0.872, 0.872, 0.257], [0.128, 0.128, 0.743], [0.000, 0.500, 0.000], [0.500, 0.000, 0.000]], "sg": "No. 139", "n_ef_per_ev_cell": 7.66, "formation_energy_uncorrected_ev_per_atom": -0.293}

---

(7)
{"formula": "LaDy3N", "functional": "PBE-GGA", "state": "relaxed", "cell": [[5.000, 0.000, 0.000], [0.000, 5.000, 0.000], [0.000, 0.000, 5.000]], "species": ["N", "La", "Dy", "Dy", "Dy"], "frac_coords": [[0.000, 0.000, 0.000], [0.500, 0.500, 0.500], [0.000, 0.500, 0.000], [0.000, 0.000, 0.500], [0.500, 0.000, 0.000]], "sg": "No. 221", "n_ef_per_ev_cell": 7.38, "formation_energy_uncorrected_ev_per_atom": -0.471}

---

(8)
{"formula": "La4Dy2N", "functional": "PBE-GGA", "state": "relaxed", "cell": [[-0.961, -3.395, 3.722], [-1.537, -3.411, -3.508], [6.965, -6.438, -0.540]], "species": ["N", "La", "La", "La", "La", "Dy", "Dy"], "frac_coords": [[0.000, 0.000, 0.000], [0.863, 0.863, 0.275], [0.137, 0.137, 0.725], [0.000, 0.500, 0.000], [0.500, 0.000, 0.000], [0.660, 0.660, 0.680], [0.340, 0.340, 0.320]], "sg": "No. 139", "n_ef_per_ev_cell": 11.50, "formation_energy_uncorrected_ev_per_atom": -0.191}

---

(9)
{"formula": "LaDy2NbN4", "functional": "PBE-GGA", "state": "relaxed", "cell": [[-1.578, 2.842, 1.140], [-3.456, -2.071, -4.824], [-6.635, -6.754, 7.654]], "species": ["La", "La", "Dy", "Dy", "Dy", "Dy", "Nb", "Nb", "N", "N", "N", "N", "N", "N", "N", "N"], "frac_coords": [[0.092, 0.184, 0.750], [0.908, 0.816, 0.250], [0.371, 0.742, 0.536], [0.629, 0.258, 0.036], [0.629, 0.258, 0.464], [0.371, 0.742, 0.964], [0.832, 0.664, 0.750], [0.168, 0.336, 0.250], [0.261, 0.522, 0.119], [0.739, 0.478, 0.619], [0.739, 0.478, 0.881], [0.261, 0.522, 0.381], [0.000, 0.000, 0.500], [0.000, 0.000, 0.000], [0.438, 0.876, 0.750], [0.562, 0.124, 0.250]], "sg": "No. 63", "n_ef_per_ev_cell": 5.12, "formation_energy_uncorrected_ev_per_atom": -1.290}

---

(10)
{"formula": "LaDyNbN3", "functional": "PBE-GGA", "state": "relaxed", "cell": [[3.398, 0.000, 0.000], [0.000, 6.811, 0.792], [0.000, -1.947, 9.224]], "species": ["La", "La", "Dy", "Dy", "Nb", "Nb", "N", "N", "N", "N", "N", "N"], "frac_coords": [[0.750, 0.813, 0.769], [0.250, 0.187, 0.231], [0.250, 0.649, 0.120], [0.750, 0.351, 0.880], [0.250, 0.136, 0.577], [0.750, 0.864, 0.423], [0.250, 0.815, 0.543], [0.750, 0.868, 0.211], [0.750, 0.391, 0.121], [0.750, 0.185, 0.457], [0.250, 0.609, 0.879], [0.250, 0.132, 0.789]], "sg": "No. 11", "n_ef_per_ev_cell": 6.82, "formation_energy_uncorrected_ev_per_atom": -1.105}

---

(11)
{"formula": "La3Dy2NbN6", "functional": "PBE-GGA", "state": "relaxed", "cell": [[-1.557, -5.059, 2.917], [-0.586, 0.321, -6.006], [6.154, -0.470, 0.387]], "species": ["La", "La", "La", "Dy", "Dy", "Nb", "N", "N", "N", "N", "N", "N"], "frac_coords": [[0.166, 0.834, 0.500], [0.834, 0.166, 0.500], [0.500, 0.500, 0.500], [0.333, 0.667, 0.000], [0.667, 0.333, 0.000], [0.000, 0.000, 0.000], [0.928, 0.620, 0.785], [0.764, 0.764, 0.221], [0.072, 0.380, 0.215], [0.620, 0.928, 0.785], [0.236, 0.236, 0.779], [0.380, 0.072, 0.215]], "sg": "No. 12", "n_ef_per_ev_cell": 2.47, "formation_energy_uncorrected_ev_per_atom": -1.384}

---

(12)
{"formula": "LaNdDyN3", "functional": "PBE-GGA", "state": "relaxed", "cell": [[-1.886, 1.465, 2.721], [-5.286, -1.177, -3.030], [1.114, -7.792, 4.966]], "species": ["La", "La", "Nd", "Nd", "Dy", "Dy", "N", "N", "N", "N", "N", "N"], "frac_coords": [[0.750, 0.648, 0.696], [0.250, 0.352, 0.304], [0.250, 0.770, 0.046], [0.750, 0.230, 0.954], [0.250, 0.145, 0.639], [0.750, 0.855, 0.361], [0.250, 0.759, 0.485], [0.750, 0.031, 0.157], [0.750, 0.538, 0.178], [0.750, 0.241, 0.515], [0.250, 0.462, 0.822], [0.250, 0.969, 0.843]], "sg": "No. 11", "formation_energy_uncorrected_ev_per_atom": -1.343}

---

(13)
{"formula": "LaDy2OsN4", "functional": "PBE-GGA", "state": "relaxed", "cell": [[-1.115, -0.226, -3.279], [4.534, -4.116, 0.578], [-7.786, -8.126, 3.208]], "species": ["La", "La", "Dy", "Dy", "Dy", "Dy", "Os", "Os", "N", "N", "N", "N", "N", "N", "N", "N"], "frac_coords": [[0.113, 0.226, 0.750], [0.887, 0.774, 0.250], [0.369, 0.737, 0.541], [0.631, 0.263, 0.041], [0.631, 0.263, 0.459], [0.369, 0.737, 0.959], [0.852, 0.704, 0.750], [0.148, 0.296, 0.250], [0.266, 0.531, 0.126], [0.734, 0.469, 0.626], [0.734, 0.469, 0.874], [0.266, 0.531, 0.374], [0.000, 0.000, 0.500], [0.000, 0.000, 0.000], [0.435, 0.870, 0.750], [0.565, 0.130, 0.250]], "sg": "No. 63", "n_ef_per_ev_cell": 5.84, "formation_energy_uncorrected_ev_per_atom": -0.982}

---

(14)
{"formula": "LaDy2PaN4", "functional": "PBE-GGA", "state": "relaxed", "cell": [[-1.359, 3.202, 0.708], [-4.856, -1.264, -3.608], [-1.216, -1.776, 5.697]], "species": ["La", "Dy", "Dy", "Pa", "N", "N", "N", "N"], "frac_coords": [[0.500, 0.500, 0.000], [0.500, 0.000, 0.500], [0.000, 0.500, 0.500], [0.000, 0.000, 0.000], [0.500, 0.232, 0.247], [0.500, 0.768, 0.753], [0.000, 0.221, 0.751], [0.000, 0.779, 0.249]], "sg": "No. 10", "n_ef_per_ev_cell": 3.44, "formation_energy_uncorrected_ev_per_atom": -1.585}

---

(15)
{"formula": "La3DyPa2N6", "functional": "PBE-GGA", "state": "relaxed", "cell": [[-4.374, -3.376, 2.795], [5.537, 0.724, 2.675], [-2.386, 5.798, 0.985]], "species": ["La", "La", "La", "Dy", "Pa", "Pa", "N", "N", "N", "N", "N", "N"], "frac_coords": [[0.166, 0.834, 0.500], [0.834, 0.166, 0.500], [0.500, 0.500, 0.500], [0.000, 0.000, 0.000], [0.333, 0.667, 0.000], [0.667, 0.333, 0.000], [0.931, 0.584, 0.792], [0.722, 0.722, 0.207], [0.069, 0.416, 0.208], [0.584, 0.931, 0.792], [0.278, 0.278, 0.793], [0.416, 0.069, 0.208]], "sg": "No. 12", "n_ef_per_ev_cell": 5.83, "formation_energy_uncorrected_ev_per_atom": -1.580}

---

(16)
{"formula": "La2DyPaN5", "functional": "PBE-GGA", "state": "relaxed", "cell": [[4.177, 0.000, 0.000], [0.000, 4.177, 0.000], [0.000, 0.000, 9.076]], "species": ["La", "La", "Dy", "Pa", "N", "N", "N", "N", "N"], "frac_coords": [[0.500, 0.500, 0.268], [0.500, 0.500, 0.732], [0.000, 0.000, 0.000], [0.000, 0.000, 0.500], [0.000, 0.500, 0.500], [0.500, 0.000, 0.500], [0.000, 0.000, 0.756], [0.000, 0.000, 0.244], [0.500, 0.500, 0.000]], "sg": "No. 123", "n_ef_per_ev_cell": 4.24, "formation_energy_uncorrected_ev_per_atom": -1.156}

---

(17)
{"formula": "LaPmDyN3", "functional": "PBE-GGA", "state": "relaxed", "cell": [[3.609, 0.000, 0.000], [0.000, 6.174, 0.315], [0.000, -2.352, 8.972]], "species": ["La", "La", "Pm", "Pm", "Dy", "Dy", "N", "N", "N", "N", "N", "N"], "frac_coords": [[0.750, 0.649, 0.697], [0.250, 0.351, 0.303], [0.250, 0.770, 0.046], [0.750, 0.230, 0.954], [0.250, 0.145, 0.639], [0.750, 0.855, 0.361], [0.250, 0.759, 0.485], [0.750, 0.031, 0.155], [0.750, 0.538, 0.175], [0.750, 0.241, 0.515], [0.250, 0.462, 0.825], [0.250, 0.969, 0.845]], "sg": "No. 11", "formation_energy_uncorrected_ev_per_atom": -1.364}

---

(18)
{"formula": "La2DyPuN5", "functional": "PBE-GGA", "state": "relaxed", "cell": [[-0.008, -3.475, -1.067], [5.149, 0.310, 5.149], [-7.807, -2.424, 7.952]], "species": ["La", "La", "La", "La", "Dy", "Dy", "Pu", "Pu", "N", "N", "N", "N", "N", "N", "N", "N", "N", "N"], "frac_coords": [[0.857, 0.714, 0.763], [0.101, 0.202, 0.689], [0.143, 0.286, 0.263], [0.899, 0.798, 0.189], [0.769, 0.539, 0.506], [0.231, 0.461, 0.006], [0.531, 0.063, 0.959], [0.469, 0.937, 0.459], [0.395, 0.790, 0.020], [0.668, 0.337, 0.891], [0.484, 0.968, 0.784], [0.268, 0.536, 0.656], [0.937, 0.874, 0.556], [0.605, 0.210, 0.520], [0.332, 0.663, 0.391], [0.516, 0.032, 0.284], [0.732, 0.464, 0.156], [0.063, 0.126, 0.056]], "sg": "No. 36", "n_ef_per_ev_cell": 10.12, "formation_energy_uncorrected_ev_per_atom": -1.147}

---

(19)
{"formula": "LaDy2ReN4", "functional": "PBE-GGA", "state": "relaxed", "cell": [[-1.639, -2.336, -2.013], [5.525, -2.413, 1.332], [-4.576, -5.134, 9.683]], "species": ["La", "La", "Dy", "Dy", "Dy", "Dy", "Re", "Re", "N", "N", "N", "N", "N", "N", "N", "N"], "frac_coords": [[0.086, 0.172, 0.750], [0.914, 0.828, 0.250], [0.370, 0.739, 0.541], [0.630, 0.261, 0.041], [0.630, 0.261, 0.459], [0.370, 0.739, 0.959], [0.831, 0.662, 0.750], [0.169, 0.338, 0.250], [0.262, 0.524, 0.118], [0.738, 0.476, 0.618], [0.738, 0.476, 0.882], [0.262, 0.524, 0.382], [0.000, 0.000, 0.500], [0.000, 0.000, 0.000], [0.421, 0.842, 0.750], [0.579, 0.158, 0.250]], "sg": "No. 63", "n_ef_per_ev_cell": 4.92, "formation_energy_uncorrected_ev_per_atom": -1.063}

---

(20)
{"formula": "La2Dy4Sb3N2", "functional": "PBE-GGA", "state": "relaxed", "cell": [[-0.938, 0.524, -4.578], [3.770, -2.599, -1.070], [-8.663, -9.587, 3.093]], "species": ["La", "La", "Dy", "Dy", "Dy", "Dy", "Sb", "Sb", "Sb", "N", "N"], "frac_coords": [[0.308, 0.308, 0.617], [0.692, 0.692, 0.383], [0.419, 0.919, 0.838], [0.919, 0.419, 0.838], [0.081, 0.581, 0.162], [0.581, 0.081, 0.162], [0.000, 0.000, 0.000], [0.174, 0.174, 0.347], [0.826, 0.826, 0.653], [0.402, 0.402, 0.805], [0.598, 0.598, 0.195]], "sg": "No. 139", "n_ef_per_ev_cell": 7.09, "formation_energy_uncorrected_ev_per_atom": -1.247}

---

Number 1: total moment 2.9 μB/f.u.. Number 2: total moment 0.0 μB/f.u.. Number 3: total moment 0.0 μB/f.u.. Number 4: total moment 0.9 μB/f.u.. Number 5: total moment 2.5 μB/f.u.. Number 6: total moment 0.0 μB/f.u.. Number 7: total moment 0.0 μB/f.u.. Number 8: total moment 0.0 μB/f.u.. Number 9: total moment 0.0 μB/f.u.. Number 10: total moment 0.0 μB/f.u.. Number 11: total moment 0.0 μB/f.u.. Number 12: total moment 0.0 μB/f.u.. Number 13: total moment 0.0 μB/f.u.. Number 14: total moment 0.0 μB/f.u.. Number 15: total moment 0.0 μB/f.u.. Number 16: total moment 0.2 μB/f.u.. Number 17: total moment 0.0 μB/f.u.. Number 18: total moment 2.0 μB/f.u.. Number 19: total moment 0.0 μB/f.u.. Number 20: total moment 0.0 μB/f.u..